Record 1
Entry from the Alexandria database: MoPdAu2 after structural relaxation (PBE).

a b c (Å): 4.5530 4.5530 4.5530
angles (deg): 60.00 60.00 60.00
Sites, in units of the cell vectors:
Au (0.2500, 0.2500, 0.2500)
Au (0.7500, 0.7500, 0.7500)
Pd (0.5000, 0.5000, 0.5000)
Mo (0.0000, 0.0000, 0.0000)

Values from the calculation:
Symmetry: Fm-3m (225)
ρ, kg/m3: 14837

***

Record 2
Entry from the Alexandria database: MoPd2Au after structural relaxation (PBE).

a b c (Å): 2.8480 2.8480 9.3393
angles (deg): 81.17 81.17 59.70
Sites, in units of the cell vectors:
Pd (0.2455, 0.2455, 0.2647)
Pd (0.0883, 0.0883, 0.7356)
Au (0.6676, 0.6676, 0.9997)
Mo (0.4986, 0.4986, 0.5000)

Values from the calculation:
Symmetry: Cm (8)
ρ, kg/m3: 13047

***

Record 3
Entry from the Alexandria database: MoPd2Au after structural relaxation (PBE).

a b c (Å): 7.1685 7.1685 5.7699
angles (deg): 51.60 51.60 90.00
Sites, in units of the cell vectors:
Au (0.7500, 0.2500, 0.5000)
Au (0.0000, 0.0000, 0.0000)
Mo (0.5000, 0.5000, 0.0000)
Mo (0.2500, 0.7500, 0.5000)
Pd (0.6021, 0.1250, 0.2500)
Pd (0.3750, 0.3979, 0.7500)
Pd (0.8750, 0.8521, 0.7500)
Pd (0.1479, 0.6250, 0.2500)

Values from the calculation:
Symmetry: I-42d (122)
ρ, kg/m3: 11858

***

Record 4
Entry from the Alexandria database: MoPd3Au after structural relaxation (PBE).

a b c (Å): 4.9168 4.9168 4.9168
angles (deg): 90.00 90.00 90.00
Sites, in units of the cell vectors:
Pd (0.0000, 0.5000, 0.0000)
Pd (0.0000, 0.0000, 0.5000)
Pd (0.5000, 0.0000, 0.0000)
Mo (0.5000, 0.5000, 0.5000)
Au (0.0000, 0.0000, 0.0000)

Values from the calculation:
Symmetry: Pm-3m (221)
ρ, kg/m3: 8552

***

Record 5
Entry from the Alexandria database: Mo2PdAu after structural relaxation (PBE).

a b c (Å): 4.5295 4.5295 4.5295
angles (deg): 60.00 60.00 60.00
Sites, in units of the cell vectors:
Pd (0.0000, 0.0000, 0.0000)
Mo (0.7500, 0.7500, 0.7500)
Mo (0.2500, 0.2500, 0.2500)
Au (0.5000, 0.5000, 0.5000)

Values from the calculation:
Symmetry: Fm-3m (225)
ρ, kg/m3: 12516

***

Record 6
Entry from the Alexandria database: ReMo2PdAu after structural relaxation (PBE).

a b c (Å): 4.7935 4.7903 4.7935
angles (deg): 90.00 90.00 90.00
Sites, in units of the cell vectors:
Au (0.0000, 0.0000, 0.0000)
Re (0.0000, 0.5000, 0.0000)
Pd (0.5000, 0.5000, 0.5000)
Mo (0.0000, 0.0000, 0.5000)
Mo (0.5000, 0.0000, 0.0000)

Values from the calculation:
Symmetry: P4/mmm (123)
ρ, kg/m3: 10281

***

Record 7
Entry from the Alexandria database: ReMo2PdAu after structural relaxation (PBE).

a b c (Å): 4.7563 4.7178 4.7563
angles (deg): 90.00 90.00 90.00
Sites, in units of the cell vectors:
Au (0.0000, 0.0000, 0.0000)
Pd (0.0000, 0.5000, 0.0000)
Mo (0.5000, 0.0000, 0.0000)
Mo (0.0000, 0.0000, 0.5000)
Re (0.5000, 0.5000, 0.5000)

Values from the calculation:
Symmetry: P4/mmm (123)
ρ, kg/m3: 10603

***

Record 8
Entry from the Alexandria database: TcMo2PdAu after structural relaxation (PBE).

a b c (Å): 4.7757 4.7583 4.7757
angles (deg): 90.00 90.00 90.00
Sites, in units of the cell vectors:
Mo (0.5000, 0.0000, 0.0000)
Mo (0.0000, 0.0000, 0.5000)
Pd (0.0000, 0.5000, 0.0000)
Tc (0.5000, 0.5000, 0.5000)
Au (0.0000, 0.0000, 0.0000)

Values from the calculation:
Symmetry: P4/mmm (123)
ρ, kg/m3: 9078

***

Record 9
Entry from the Alexandria database: Ti2MoPdAu after structural relaxation (PBE).

a b c (Å): 4.5797 5.0572 4.5797
angles (deg): 90.00 90.00 90.00
Sites, in units of the cell vectors:
Ti (0.5000, 0.0000, 0.0000)
Ti (0.0000, 0.0000, 0.5000)
Pd (0.5000, 0.5000, 0.5000)
Au (0.0000, 0.5000, 0.0000)
Mo (0.0000, 0.0000, 0.0000)

Values from the calculation:
Symmetry: P4/mmm (123)
ρ, kg/m3: 7750

***

Record 10
Entry from the Alexandria database: TlMoPd2Au after structural relaxation (PBE).

a b c (Å): 5.0577 5.0821 5.0577
angles (deg): 90.00 90.00 90.00
Sites, in units of the cell vectors:
Au (0.0000, 0.0000, 0.0000)
Tl (0.0000, 0.5000, 0.0000)
Pd (0.0000, 0.0000, 0.5000)
Pd (0.5000, 0.0000, 0.0000)
Mo (0.5000, 0.5000, 0.5000)

Values from the calculation:
Symmetry: P4/mmm (123)
ρ, kg/m3: 9071

***

Record 11
Entry from the Alexandria database: ZrMoPd2Au after structural relaxation (PBE).

a b c (Å): 4.8782 4.8510 4.8782
angles (deg): 90.00 90.00 90.00
Sites, in units of the cell vectors:
Mo (0.0000, 0.5000, 0.0000)
Pd (0.5000, 0.0000, 0.0000)
Pd (0.0000, 0.0000, 0.5000)
Zr (0.0000, 0.0000, 0.0000)
Au (0.5000, 0.5000, 0.5000)

Values from the calculation:
Symmetry: P4/mmm (123)
ρ, kg/m3: 8587

***

Record 12
Entry from the Alexandria database: Mo2Pt2Au after structural relaxation (PBE).

a b c (Å): 7.8799 7.8799 2.7434
angles (deg): 90.00 90.00 90.00
Sites, in units of the cell vectors:
Mo (0.6206, 0.1206, 0.0000)
Mo (0.1206, 0.3794, 0.0000)
Mo (0.3794, 0.8794, 0.0000)
Mo (0.8794, 0.6206, 0.0000)
Au (0.0000, 0.0000, 0.0000)
Au (0.5000, 0.5000, 0.0000)
Pt (0.1690, 0.6690, 0.5000)
Pt (0.3310, 0.1690, 0.5000)
Pt (0.6690, 0.8310, 0.5000)
Pt (0.8310, 0.3310, 0.5000)

Values from the calculation:
Symmetry: P4/mbm (127)
ρ, kg/m3: 15188

***

E_form readings, ordered: 0.238; -0.059; 0.519; 1.488; 0.549; 2.497; 2.480; 2.338; 0.852; 1.337; 1.216; 0.039 eV per atom